# 1
LaHfNi2 after structural relaxation. Source: Alexandria, functional PBE-GGA.

abc: 3.271 3.271 7.078
angles: 90.00 90.00 90.00
Sites, in units of the cell vectors:
Ni: 0.000 0.000 0.192
Ni: 0.000 0.000 0.808
Hf: 0.500 0.500 0.000
La: 0.500 0.500 0.500

As for the formation enthalpy at 0 K: -344 meV/atom. For the density of states at the Fermi level, the calculation gives 5.044 states/eV/f.u.

# 2
La2HfNi after structural relaxation. Source: Alexandria, functional PBE-GGA.

abc: 8.295 8.295 6.609
angles: 51.13 51.13 90.00
Sites, in units of the cell vectors:
Hf: 0.000 0.000 0.000
Hf: 0.750 0.250 0.500
La: 0.183 0.625 0.250
La: 0.567 0.125 0.250
La: 0.375 0.433 0.750
La: 0.875 0.817 0.750
Ni: 0.500 0.500 0.000
Ni: 0.250 0.750 0.500

For the relative energy among the computed polymorphs, the calculation gives 0.00 eV per formula unit. As for the formation enthalpy at 0 K: 258 meV/atom. For the density of states at the Fermi level, the calculation gives 4.418 states/eV/f.u.

# 3
La2HfNi after structural relaxation. Source: Alexandria, functional PBE-GGA.

abc: 5.241 5.241 5.241
angles: 60.00 60.00 60.00
Last column: magnetic moment on the atom in μB.
Sites, in units of the cell vectors:
Hf: 0.500 0.500 0.500  0.41
Ni: 0.000 0.000 0.000  0.33
La: 0.250 0.250 0.250  0.11
La: 0.750 0.750 0.750  0.11

For the relative energy among the computed polymorphs, the calculation gives 0.25 eV per formula unit. As for the formation enthalpy at 0 K: 322 meV/atom. For the density of states at the Fermi level, the calculation gives 6.489 states/eV/f.u.

# 4
LaHf3Ni after structural relaxation. Source: Alexandria, functional PBE-GGA.

abc: 4.947 4.947 4.947
angles: 90.00 90.00 90.00
Sites, in units of the cell vectors:
Ni: 0.000 0.000 0.000
La: 0.500 0.500 0.500
Hf: 0.000 0.500 0.000
Hf: 0.000 0.000 0.500
Hf: 0.500 0.000 0.000

For the relative energy among the computed polymorphs, the calculation gives 0.00 eV per formula unit. As for the formation enthalpy at 0 K: 145 meV/atom. For the density of states at the Fermi level, the calculation gives 5.664 states/eV/f.u.

# 5
LaHfNi2Pd after structural relaxation. Source: Alexandria, functional PBE-GGA.

abc: 4.833 4.726 4.833
angles: 90.00 90.00 90.00
Sites, in units of the cell vectors:
La: 0.500 0.500 0.500
Ni: 0.000 0.000 0.500
Ni: 0.500 0.000 0.000
Pd: 0.000 0.000 0.000
Hf: 0.000 0.500 0.000

As for the formation enthalpy at 0 K: 358 meV/atom. For the density of states at the Fermi level, the calculation gives 6.810 states/eV/f.u.

# 6
La2HfTiNi after structural relaxation. Source: Alexandria, functional PBE-GGA.

abc: 5.593 4.286 5.593
angles: 90.00 90.00 90.00
Last column: magnetic moment on the atom in μB.
Sites, in units of the cell vectors:
Hf: 0.500 0.500 0.500  0.55
Ti: 0.000 0.000 0.000  -0.04
La: 0.500 0.000 0.000  0.09
La: 0.000 0.000 0.500  0.07
Ni: 0.000 0.500 0.000  -0.01

As for the formation enthalpy at 0 K: 766 meV/atom. For the density of states at the Fermi level, the calculation gives 6.902 states/eV/f.u.

# 7
LaHfV2Ni after structural relaxation. Source: Alexandria, functional PBE-GGA.

abc: 4.703 4.790 4.703
angles: 90.00 90.00 90.00
Last column: magnetic moment on the atom in μB.
Sites, in units of the cell vectors:
V: 0.500 0.000 0.000  1.67
V: 0.000 0.000 0.500  1.51
La: 0.500 0.500 0.500  0.00
Ni: 0.000 0.000 0.000  -0.08
Hf: 0.000 0.500 0.000  -0.29

As for the formation enthalpy at 0 K: 519 meV/atom. For the density of states at the Fermi level, the calculation gives 6.839 states/eV/f.u.

# 8
LaHfNpO6 after structural relaxation. Source: Alexandria, functional PBE-GGA.

abc: 5.653 5.653 10.100
angles: 90.00 90.00 120.00
Last column: magnetic moment on the atom in μB.
Sites, in units of the cell vectors:
O: 0.644 0.637 0.641  -0.04
O: 0.637 0.993 0.359  -0.04
O: 0.363 0.356 0.859  -0.04
O: 0.363 0.007 0.641  -0.04
O: 0.356 0.993 0.141  -0.04
O: 0.993 0.356 0.641  -0.04
O: 0.637 0.644 0.141  -0.04
O: 0.007 0.644 0.359  -0.04
O: 0.993 0.637 0.859  -0.04
O: 0.356 0.363 0.359  -0.04
O: 0.644 0.007 0.859  -0.04
O: 0.007 0.363 0.141  -0.04
La: 0.000 0.000 0.000  0.00
La: 0.000 0.000 0.500  0.00
Hf: 0.333 0.667 0.250  0.01
Hf: 0.667 0.333 0.750  0.01
Np: 0.333 0.667 0.750  2.19
Np: 0.667 0.333 0.250  2.19

The calculation puts the uncorrected formation energy at -3.28 eV per atom. For the density of states at the Fermi level, the calculation gives 7.872 states/eV/f.u.

# 9
La2HfO5 after structural relaxation. Source: Alexandria, functional PBE-GGA.

abc: 6.526 6.526 7.905
angles: 71.67 71.67 51.18
Sites, in units of the cell vectors:
O: 0.616 0.112 0.534
O: 0.612 0.092 0.104
O: 0.133 0.867 0.250
O: 0.384 0.888 0.466
O: 0.112 0.616 0.034
O: 0.867 0.133 0.750
O: 0.388 0.908 0.896
O: 0.092 0.612 0.604
O: 0.888 0.384 0.966
O: 0.908 0.388 0.396
Hf: 0.000 0.000 0.500
Hf: 0.000 0.000 0.000
La: 0.646 0.697 0.168
La: 0.697 0.646 0.668
La: 0.303 0.354 0.332
La: 0.354 0.303 0.832

For the relative energy among the computed polymorphs, the calculation gives 0.24 eV per formula unit. The calculation puts the uncorrected formation energy at -3.51 eV per atom. For the density of states at the Fermi level, the calculation gives 0.000 states/eV/f.u.

# 10
La2Hf2O7 after structural relaxation. Source: Alexandria, functional PBE-GGA.

abc: 7.642 7.642 7.642
angles: 60.00 60.00 60.00
Sites, in units of the cell vectors:
O: 0.705 0.295 0.705
O: 0.955 0.955 0.545
O: 0.295 0.295 0.705
O: 0.000 0.000 0.000
O: 0.955 0.545 0.955
O: 0.295 0.705 0.295
O: 0.295 0.705 0.705
O: 0.955 0.545 0.545
O: 0.705 0.295 0.295
O: 0.545 0.955 0.955
O: 0.250 0.250 0.250
O: 0.705 0.705 0.295
O: 0.545 0.545 0.955
O: 0.545 0.955 0.545
Hf: 0.125 0.625 0.625
Hf: 0.625 0.625 0.625
Hf: 0.625 0.125 0.625
Hf: 0.625 0.625 0.125
La: 0.625 0.125 0.125
La: 0.125 0.125 0.625
La: 0.125 0.625 0.125
La: 0.125 0.125 0.125

The calculation puts the uncorrected formation energy at -3.60 eV per atom. For the density of states at the Fermi level, the calculation gives 0.000 states/eV/f.u.

# 11
La2HfO5 after structural relaxation. Source: Alexandria, functional PBE-GGA.

abc: 6.372 6.372 11.183
angles: 90.00 90.00 141.38
Sites, in units of the cell vectors:
O: 0.050 0.950 0.620
O: 0.950 0.050 0.380
O: 0.281 0.719 0.596
O: 0.050 0.950 0.880
O: 0.717 0.283 0.750
O: 0.719 0.281 0.404
O: 0.950 0.050 0.120
O: 0.283 0.717 0.250
O: 0.281 0.719 0.904
O: 0.719 0.281 0.096
La: 0.861 0.139 0.571
La: 0.861 0.139 0.929
La: 0.139 0.861 0.429
La: 0.139 0.861 0.071
Hf: 0.830 0.170 0.250
Hf: 0.170 0.830 0.750

For the relative energy among the computed polymorphs, the calculation gives 0.45 eV per formula unit. The calculation puts the uncorrected formation energy at -3.48 eV per atom. For the density of states at the Fermi level, the calculation gives 0.000 states/eV/f.u.

# 12
La2HfO5 after structural relaxation. Source: Alexandria, functional PBE-GGA.

abc: 3.949 11.224 11.941
angles: 90.00 90.00 90.00
Sites, in units of the cell vectors:
O: 0.250 0.511 0.840
O: 0.250 0.763 0.733
O: 0.250 0.764 0.386
O: 0.750 0.003 0.898
O: 0.250 0.230 0.454
O: 0.250 0.263 0.767
O: 0.750 0.237 0.267
O: 0.750 0.737 0.233
O: 0.750 0.489 0.160
O: 0.250 0.997 0.102
O: 0.250 0.011 0.660
O: 0.750 0.270 0.954
O: 0.750 0.736 0.886
O: 0.250 0.730 0.046
O: 0.750 0.236 0.614
O: 0.750 0.503 0.602
O: 0.250 0.497 0.398
O: 0.750 0.770 0.546
O: 0.250 0.264 0.114
O: 0.750 0.989 0.340
Hf: 0.250 0.179 0.618
Hf: 0.250 0.679 0.882
Hf: 0.750 0.821 0.382
Hf: 0.750 0.321 0.118
La: 0.750 0.390 0.779
La: 0.250 0.110 0.279
La: 0.250 0.610 0.221
La: 0.250 0.132 0.937
La: 0.750 0.368 0.437
La: 0.750 0.868 0.063
La: 0.750 0.890 0.721
La: 0.250 0.632 0.563

For the relative energy among the computed polymorphs, the calculation gives 0.00 eV per formula unit. The calculation puts the uncorrected formation energy at -3.54 eV per atom. For the density of states at the Fermi level, the calculation gives 0.000 states/eV/f.u.